A plane-wave DFT calculation with PBE was carried out for TaZnOs2 after structural relaxation.

Its density of states at the Fermi level is 1.925 states/eV/cell. The value obtained for the calculated total energy is -8.75 eV per atom. For the calculated formation energy, the calculation gives 149 meV/atom. The size of the total moment is 0.0 μB per cell.

a = 9.3286 Å, b = 9.3286 Å, c = 9.3286 Å
α = 17.17°, β = 17.17°, γ = 17.17°
Closest atoms and distances in Å follow each position.
Positions (direct):
Ta 0.0000 0.0000 0.0000  6 Ta 2.78, 3 Os 2.88, 3 Zn 2.92
Zn 0.7551 0.7551 0.7551  3 Os 2.75, 6 Zn 2.78, 3 Ta 2.92
Os 0.2466 0.2466 0.2466  9 Os 2.67-2.78, 3 Ta 2.88
Os 0.5027 0.5027 0.5027  9 Os 2.67-2.78, 3 Zn 2.75